Density functional theory data (PBE) for a relaxed Zr2MnHg crystal.

- Volume: 80.59 Å³/cell
- Total DFT energy (no corrections): -6.628 eV/atom
- Energy relative to the elements: 14 meV/atom
- Space-group type: No. 6

a = 4.7872 Å, b = 3.2135 Å, c = 5.2653 Å
α = 84.20°, β = 90.00°, γ = 90.00°
Closest atoms and distances in Å follow each position.
Atoms (fractional coordinates):
Mn  0.5000  0.6081  0.8022  7 Zr 2.84-3.07, 2 Hg 2.99
Zr  0.5000  0.2022  0.3071  3 Mn 2.84-3.07, 4 Hg 2.93-3.06, 2 Zr 3.18
Zr  0.0000  0.0481  0.9301  4 Mn 2.89-3.03, 3 Hg 2.91-2.97, 4 Zr 3.18-3.21
Hg  0.0000  0.6416  0.4606  7 Zr 2.91-3.06, 2 Mn 2.99, 2 Hg 3.21